[1]
A plane-wave DFT calculation with PBE was carried out for a relaxed structure of HfNiHg.

* calculated total energy: -5.311 eV per atom
* size of the total moment: 0.7 μB per formula unit

Lattice parameters (Å, degrees): 6.1436 6.1436 6.1436 90.00 90.00 90.00
With the nearest neighbours (Å) after each atom.
Space group F-43m (No. 216)
Inequivalent atoms, fractional coordinates:
Hf1 0.0000 0.0000 0.0000 x4  4 Ni 2.66
Ni1 0.2500 0.2500 0.2500 x4  4 Hg 2.66, 4 Hf 2.66
Hg1 0.0000 0.0000 0.5000 x4  4 Ni 2.66

=====

[2]
A plane-wave DFT calculation with PBE was carried out for a relaxed structure of CsGdCoTe3.

* calculated total energy: -4.359 eV per atom
* size of the total moment: 2.0 μB per formula unit

Lattice parameters (Å, degrees): 17.4275 4.8345 10.0904 90.00 90.53 90.00
With the nearest neighbours (Å) after each atom.
Space group C2/m (No. 12)
Inequivalent atoms, fractional coordinates:
Cs1 0.1510 0.0000 0.0890 x4  6 Te 3.68-4.01
Gd1 0.1608 0.0000 0.5900 x4  6 Te 2.94-3.23
Co1 0.0067 0.5000 0.3883 x4  1 Co 2.27
Te1 0.0000 0.0000 0.5000 x2  4 Co 2.67, 2 Gd 2.94
Te2 0.0000 0.5000 0.0000 x2  2 Te 3.07
Te3 0.1181 0.5000 0.7761 x4  1 Co 2.72
Te4 0.1646 0.5000 0.3783 x4  1 Co 2.76, 1 Gd 3.06

=====

[3]
A plane-wave DFT calculation with PBE was carried out for a relaxed structure of RbSiAu.

* calculated total energy: -2.552 eV per atom

Lattice parameters (Å, degrees): 7.0723 7.0723 7.0723 90.00 90.00 90.00
With the nearest neighbours (Å) after each atom.
Space group F-43m (No. 216)
Inequivalent atoms, fractional coordinates:
Rb1 0.0000 0.0000 0.0000 x4  4 Si 3.06
Si1 0.2500 0.2500 0.7500 x4  4 Rb 3.06, 4 Au 3.06
Au1 0.0000 0.0000 0.5000 x4  4 Si 3.06

=====

[4]
A plane-wave DFT calculation with PBE was carried out for a relaxed structure of CsUBe.

* calculated total energy: -3.301 eV per atom
* size of the total moment: 1.9 μB per formula unit

Lattice parameters (Å, degrees): 6.8994 6.8994 6.8994 90.00 90.00 90.00
With the nearest neighbours (Å) after each atom.
Space group F-43m (No. 216)
Inequivalent atoms, fractional coordinates:
Cs1 0.0000 0.0000 0.0000 x4  4 U 2.99
U1 0.2500 0.2500 0.7500 x4  4 Be 2.99, 4 Cs 2.99
Be1 0.0000 0.0000 0.5000 x4  4 U 2.99

=====

[5]
A plane-wave DFT calculation with PBE was carried out for a relaxed structure of PrSmZr2P2.

* calculated total energy: -7.259 eV per atom
* size of the total moment: 0.8 μB per formula unit

Lattice parameters (Å, degrees): 4.0892 4.0892 16.0191 90.00 90.00 90.00
With the nearest neighbours (Å) after each atom.
Space group I4mm (No. 107)
Inequivalent atoms, fractional coordinates:
Pr1 0.0000 0.0000 0.0000 x2  5 P 3.03-3.16
Sm1 0.0000 0.0000 0.3551 x2  5 P 3.01-3.22
Zr1 0.0000 0.5000 0.1794 x4  4 P 2.84, 4 Zr 2.89
P1 0.0000 0.0000 0.5559 x2  4 Zr 2.84, 4 Pr 3.03
P2 0.0000 0.0000 0.8027 x2  4 Zr 2.84, 4 Sm 3.01, 1 Pr 3.16

=====

[6]
A plane-wave DFT calculation with PBE was carried out for a relaxed structure of Cu2Ag3.

* calculated total energy: -3.088 eV per atom

Lattice parameters (Å, degrees): 6.2999 3.9201 6.3140 90.00 90.33 90.00
With the nearest neighbours (Å) after each atom.
Space group Pm (No. 6)
Inequivalent atoms, fractional coordinates:
Cu1 0.0000 0.0000 0.0000 x1  4 Cu 2.64-2.80, 8 Ag 2.70-2.91
Cu2 0.0931 0.5000 0.7191 x1  8 Ag 2.68-2.93, 4 Cu 2.70-2.71
Cu3 0.6142 0.0000 0.2175 x1  10 Ag 2.73-2.92, 2 Cu 2.80-2.85
Cu4 0.8150 0.0000 0.6231 x1  4 Cu 2.64-2.85, 8 Ag 2.74-2.89
Ag1 0.1970 0.0000 0.4182 x1  5 Cu 2.74-2.92, 7 Ag 2.79-2.84
Ag2 0.2994 0.5000 0.1106 x1  7 Ag 2.77-2.92, 5 Cu 2.79-2.87
Ag3 0.4005 0.0000 0.8181 x1  7 Ag 2.77-2.86, 5 Cu 2.78-2.89
Ag4 0.5081 0.5000 0.5134 x1  7 Ag 2.75-2.86, 5 Cu 2.79-2.93
Ag5 0.7178 0.5000 0.9153 x1  7 Cu 2.68-2.81, 5 Ag 2.79-2.92
Ag6 0.8980 0.5000 0.3203 x1  7 Cu 2.73-2.89, 5 Ag 2.75-2.86

=====

[7]
A plane-wave DFT calculation with PBE was carried out for a relaxed structure of LuTlZnCu.

* calculated total energy: -3.021 eV per atom
* size of the total moment: 0.0 μB per formula unit

Lattice parameters (Å, degrees): 6.7658 6.7658 6.7658 90.00 90.00 90.00
With the nearest neighbours (Å) after each atom.
Space group F-43m (No. 216)
Inequivalent atoms, fractional coordinates:
Lu1 0.0000 0.0000 0.0000 x4  4 Tl 2.93, 4 Zn 2.93
Tl1 0.2500 0.2500 0.2500 x4  4 Cu 2.93, 4 Lu 2.93
Zn1 0.2500 0.2500 0.7500 x4  4 Lu 2.93, 4 Cu 2.93
Cu1 0.0000 0.0000 0.5000 x4  4 Zn 2.93, 4 Tl 2.93

=====

[8]
A plane-wave DFT calculation with PBE was carried out for a relaxed structure of YFeCo3B.

* calculated total energy: -7.448 eV per atom
* size of the total moment: 4.4 μB per formula unit

Lattice parameters (Å, degrees): 5.0565 5.0565 6.7826 90.00 90.00 120.00
With the nearest neighbours (Å) after each atom.
Space group P6/mmm (No. 191)
Inequivalent atoms, fractional coordinates:
Y1 0.0000 0.0000 0.0000 x1  6 Fe 2.92, 12 Co 3.20
Y2 0.0000 0.0000 0.5000 x1  12 Co 2.91, 6 B 2.92
Fe1 0.3333 0.6667 0.0000 x2  6 Co 2.44
Co1 0.0000 0.5000 0.2882 x6  2 B 2.05
B1 0.3333 0.6667 0.5000 x2  6 Co 2.05

=====

[9]
A plane-wave DFT calculation with PBE was carried out for a relaxed structure of CsZnSbTe3.

* calculated total energy: -3.143 eV per atom

Lattice parameters (Å, degrees): 4.4798 16.9740 11.6973 90.00 90.00 90.00
With the nearest neighbours (Å) after each atom.
Space group Cmcm (No. 63)
Inequivalent atoms, fractional coordinates:
Cs1 0.0000 0.2433 0.2500 x4  8 Te 3.92-4.10, 2 Zn 4.28
Zn1 0.0000 0.0421 0.7500 x4  4 Te 2.67-2.77
Sb1 0.0000 0.5000 0.0000 x4  6 Te 3.06-3.10
Te1 0.0000 0.1212 0.5523 x8  1 Zn 2.67
Te2 0.0000 0.4461 0.7500 x4  2 Zn 2.77, 2 Sb 3.06

=====

[10]
A plane-wave DFT calculation with PBE was carried out for a relaxed structure of NdBiN2O.

* calculated total energy: -6.333 eV per atom
* size of the total moment: 0.0 μB per formula unit

Lattice parameters (Å, degrees): 6.0528 6.0528 14.9950 90.00 90.00 120.00
With the nearest neighbours (Å) after each atom.
Space group P6_3/mmc (No. 194)
Inequivalent atoms, fractional coordinates:
Nd1 0.0000 0.0000 0.2500 x2  6 N 2.64
Nd2 0.3333 0.6667 0.1349 x4  3 O 2.37
Bi1 0.0000 0.0000 0.0000 x2  6 N 2.19
Bi2 0.3333 0.6667 0.6401 x4  3 N 2.05
N1 0.1436 0.2872 0.6056 x12  2 Bi 2.05-2.19
O1 0.0234 0.5117 0.2500 x6  2 Nd 2.37, 2 Bi 2.49

=====

[11]
A plane-wave DFT calculation with PBE was carried out for a relaxed structure of LiZrGaPd.

* calculated total energy: -5.295 eV per atom
* size of the total moment: 0.0 μB per formula unit

Lattice parameters (Å, degrees): 6.3386 6.3386 6.3386 90.00 90.00 90.00
With the nearest neighbours (Å) after each atom.
Space group F-43m (No. 216)
Inequivalent atoms, fractional coordinates:
Li1 0.0000 0.0000 0.0000 x4  4 Zr 2.74, 4 Ga 2.74
Zr1 0.2500 0.2500 0.7500 x4  4 Li 2.74, 4 Pd 2.74
Ga1 0.2500 0.2500 0.2500 x4  4 Li 2.74, 4 Pd 2.74
Pd1 0.0000 0.0000 0.5000 x4  4 Ga 2.74, 4 Zr 2.74

=====

[12]
A plane-wave DFT calculation with PBE was carried out for a relaxed structure of BaCdIn2Pt.

* calculated total energy: -3.405 eV per atom
* size of the total moment: 0.0 μB per formula unit

Lattice parameters (Å, degrees): 4.8374 4.8374 11.6424 90.00 90.00 90.00
With the nearest neighbours (Å) after each atom.
Space group P4/nmm (No. 129, origin choice 2)
Inequivalent atoms, fractional coordinates:
Ba1 0.2500 0.2500 0.2392 x2  8 In 3.65-3.69, 4 Pt 3.71, 4 Cd 3.88
Cd1 0.2500 0.7500 0.5000 x2  4 In 3.00
In1 0.2500 0.2500 0.6518 x2  1 Pt 2.70, 4 Cd 3.00
In2 0.2500 0.7500 0.0000 x2  4 Pt 2.77
Pt1 0.2500 0.2500 0.8836 x2  5 In 2.70-2.77